(1)
The following is a PBE-GGA calculation of crystalline LiZr2Zn at its relaxed geometry, from the Open Quantum Materials Database.

abc: 4.8185 4.8185 4.8185
angles: 60.00 60.00 60.00
Site moments in Bohr magnetons follow the coordinates.
Atoms (fractional coordinates):
Zr: 0.7500 0.7500 0.7500  0.96
Zr: 0.0000 0.0000 0.0000  1.14
Li: 0.2500 0.2500 0.2500  0.00
Zn: 0.5000 0.5000 0.5000  -0.01

Values from the calculation:
Total magnetization: 2.937 μB/f.u.
VASP energy: -19.1 eV per cell
Space group: No. 216

---

(2)
The following is a PBE-GGA calculation of crystalline Li3Zr4 at its relaxed geometry, from the Open Quantum Materials Database.

abc: 8.3038 8.3047 4.9270
angles: 90.00 90.00 60.01
Atoms (fractional coordinates):
Li: 0.5232 0.3889 0.5000
Li: 0.2933 0.5720 0.0000
Li: 0.4292 0.8491 0.0000
Li: 0.2460 0.8021 0.5000
Li: 0.6591 0.6661 0.5000
Li: 0.7063 0.4360 0.0000
Zr: 0.3743 0.0942 0.5000
Zr: 0.8095 0.9523 0.5000
Zr: 0.8496 0.7209 0.0000
Zr: 0.0011 0.9924 0.0000
Zr: 0.1429 0.2858 0.0000
Zr: 0.5781 0.1438 0.0000
Zr: 0.1028 0.5172 0.5000
Zr: 0.9513 0.2457 0.5000

Values from the calculation:
Total magnetization: 0.120 μB/f.u.
Space group: No. 176
Excess energy over the best structure of this formula in the dataset: 0.000 eV/atom